1.
TbPm2ErS6 | PBE | optimized geometry

Computed properties:
As for the total magnetization: 0.0 μB/cell. Its energy relative to the elements, uncorrected is -197.18 kJ/mol of atoms.

a = 7.0209 Å, b = 7.0209 Å, c = 18.5948 Å
α = 90.00°, β = 90.00°, γ = 120.00°
Space group R3 (No. 146, hexagonal axes)
Symmetry-distinct sites (fractional):
Tb 0.0000 0.0000 0.0000 x3
Pm 0.0000 0.0000 0.2946 x3
Pm 0.0000 0.0000 0.7953 x3
Er 0.0000 0.0000 0.4990 x3
S 0.0431 0.6852 0.5677 x9
S 0.0446 0.3631 0.0684 x9

---

2.
TbPm4Er3S8 | PBE | optimized geometry

Computed properties:
As for the total magnetization: 0.0 μB/cell. Its energy relative to the elements, uncorrected is -193.30 kJ/mol of atoms.

a = 7.8606 Å, b = 7.8606 Å, c = 19.6702 Å
α = 90.00°, β = 90.00°, γ = 120.00°
Space group R-3m (No. 166, hexagonal axes)
Symmetry-distinct sites (fractional):
Tb 0.0000 0.0000 0.0000 x3
Pm 0.0000 0.0000 0.5000 x3
Pm 0.0000 0.5000 0.5000 x9
Er 0.0000 0.5000 0.0000 x9
S 0.0000 0.0000 0.2558 x6
S 0.0030 0.5015 0.2551 x18

---

Calculated volume for the records above, in order: 793.81, 1052.59 Å³/cell